# Cu2Ni2S (PBE, relaxed)
data_Cu2Ni2S
_space_group_name_H-M_alt 'P 4/m b m'
_space_group_IT_number 127
_space_group_name_Hall '-P 4 2ab'
_cell_length_a 5.6859
_cell_length_b 5.6859
_cell_length_c 3.8837
_cell_angle_alpha 90.00
_cell_angle_beta 90.00
_cell_angle_gamma 90.00
loop_
_atom_site_label
_atom_site_type_symbol
_atom_site_fract_x
_atom_site_fract_y
_atom_site_fract_z
Cu1 Cu 0.1520 0.3480 0.0000
Ni1 Ni 0.1569 0.6569 0.5000
S1 S 0.0000 0.0000 0.5000
# DFT total energy: -4.73 eV per atom
# Spin magnetization: 0.00 μB/atom
# E_form (uncorrected): 0.05 eV/atom